No. 1
VASP calculation (GGA-PBE) on a geometry-optimized La4Pm2DyHo2 structure.

Lattice parameters (Å, degrees): 5.1987 8.2009 8.1162 107.61 90.00 108.48
Element x y z (fractional)
Pm (0.1122, 0.2244, 0.6709)
Pm (0.8878, 0.7756, 0.3291)
Ho (0.6672, 0.3345, 0.9999)
Ho (0.3328, 0.6655, 0.0001)
La (0.7768, 0.5535, 0.6697)
La (0.4458, 0.8916, 0.6716)
La (0.5542, 0.1084, 0.3284)
La (0.2232, 0.4465, 0.3303)
Dy (0.0000, 0.0000, 0.0000)

ΔE_f = 0.26 eV per formula unit
space-group type = C2/m
density of states at the Fermi level = 16.4 states/eV/cell
magnetization = 0.00 Bohr magnetons per cell

***

No. 2
VASP calculation (GGA-PBE) on a geometry-optimized LaPmDy2Ho structure.

Lattice parameters (Å, degrees): 7.2222 8.4607 7.1694 126.16 90.00 90.00
Element x y z (fractional)
Dy (0.0000, 0.3121, 0.0000)
Dy (0.5000, 0.6879, 0.0000)
Dy (0.5000, 0.3121, 0.0000)
Dy (0.0000, 0.6879, 0.0000)
Ho (0.7500, 0.2803, 0.5607)
Ho (0.2500, 0.7197, 0.4393)
La (0.2500, 0.2662, 0.5325)
La (0.7500, 0.7338, 0.4675)
Pm (0.7500, 0.9975, 0.9951)
Pm (0.2500, 0.0025, 0.0049)

ΔE_f = 1.80 eV per formula unit
space-group type = Cmcm
density of states at the Fermi level = 16.8 states/eV/cell
magnetization = 0.00 Bohr magnetons per cell

***

No. 3
VASP calculation (GGA-PBE) on a geometry-optimized LaPmDyHo3 structure.

Lattice parameters (Å, degrees): 5.6408 10.3186 7.0865 90.43 90.00 105.86
Element x y z (fractional)
Ho (0.8355, 0.6711, 0.2685)
Ho (0.7792, 0.5583, 0.7559)
Ho (0.4766, 0.9531, 0.2628)
Ho (0.5234, 0.0469, 0.7372)
Ho (0.2208, 0.4417, 0.2441)
Ho (0.1645, 0.3289, 0.7315)
Dy (0.3500, 0.7001, 0.5398)
Dy (0.6500, 0.2999, 0.4602)
Pm (0.0533, 0.1066, 0.2671)
Pm (0.9467, 0.8934, 0.7329)
La (0.3546, 0.7092, 0.9662)
La (0.6454, 0.2908, 0.0338)

ΔE_f = 1.17 eV per formula unit
space-group type = C2/m
density of states at the Fermi level = 19.5 states/eV/cell
magnetization = 0.00 Bohr magnetons per cell

***

No. 4
VASP calculation (GGA-PBE) on a geometry-optimized La4PmDyHo2 structure.

Lattice parameters (Å, degrees): 5.2521 5.2175 11.3223 62.55 90.00 90.00
Element x y z (fractional)
La (0.5000, 0.7474, 0.2521)
La (0.0000, 0.7519, 0.7483)
La (0.5000, 0.2526, 0.7479)
La (0.0000, 0.2481, 0.2517)
Dy (0.0000, 0.5000, 0.5000)
Pm (0.5000, 0.5000, 0.0000)
Ho (0.0000, 0.0000, 0.0000)
Ho (0.5000, 0.0000, 0.5000)

ΔE_f = 0.15 eV per formula unit
space-group type = Pmmm
density of states at the Fermi level = 11.1 states/eV/cell
magnetization = 0.00 Bohr magnetons per cell

***

Question: ΔE_f of number 2 (LaPmDy2Ho)?
Answer: 1.80 eV per formula unit

***

Question: Which formula does entry 2 have?
Answer: LaPmDy2Ho